VASP calculation (PBE-GGA) on an optimized crystal structure of K3Er2ZrSe6. Values from VASP.

The structure in Quantum ESPRESSO input format:
```
&SYSTEM
  ibrav = 0, nat = 12, ntyp = 4
/
ATOMIC_SPECIES
Er 167.26 Er.upf
Zr 91.22 Zr.upf
K 39.10 K.upf
Se 78.96 Se.upf
ATOMIC_POSITIONS crystal
Er 0.666 0.334 0.000
Er 0.334 0.666 0.000
Zr 0.000 0.000 0.000
K 0.500 0.500 0.500
K 0.831 0.169 0.500
K 0.169 0.831 0.500
Se 0.608 0.932 0.796
Se 0.068 0.392 0.204
Se 0.932 0.608 0.796
Se 0.744 0.744 0.204
Se 0.392 0.068 0.204
Se 0.256 0.256 0.796
CELL_PARAMETERS angstrom
-6.014 -3.311 1.760
2.736 -0.831 -6.485
5.158 -4.675 4.068
```

Calculated values
space group: No. 12
total moment: 0.00 μB/atom
uncorrected formation energy: -19.088 eV/f.u.